# LiAsF6, single point on PBEsol structure, DFT SCAN
# Formation energy without anion corrections in meV/atom: -2512
# Size of the total moment in μB/cell: 0.00
# SG: No. 148
# Crystal system: trigonal
data_LiAsF6
_symmetry_space_group_name_H-M 'P 1'
_symmetry_Int_Tables_number 1
_cell_length_a 5.014
_cell_length_b 5.014
_cell_length_c 5.243
_cell_angle_alpha 61.44
_cell_angle_beta 61.44
_cell_angle_gamma 60.00
loop_
_symmetry_equiv_pos_as_xyz
'x,y,z'
loop_
_atom_site_label
_atom_site_fract_x
_atom_site_fract_y
_atom_site_fract_z
_atom_site_occupancy
As1 0.000 0.000 0.000 1
Li1 0.500 0.500 0.500 1
F1 0.662 0.229 0.232 1
F2 0.877 0.662 0.232 1
F3 0.229 0.877 0.232 1
F4 0.338 0.771 0.768 1
F5 0.123 0.338 0.768 1
F6 0.771 0.123 0.768 1

# HgSbOs2, single point on PBEsol structure, DFT SCAN
# Formation energy without anion corrections in meV/atom: 839
# Size of the total moment in μB/cell: 0.00
# SG: No. 12
# Crystal system: monoclinic
data_HgSbOs2
_symmetry_space_group_name_H-M 'P 1'
_symmetry_Int_Tables_number 1
_cell_length_a 3.027
_cell_length_b 4.514
_cell_length_c 5.475
_cell_angle_alpha 100.08
_cell_angle_beta 90.00
_cell_angle_gamma 109.59
loop_
_symmetry_equiv_pos_as_xyz
'x,y,z'
loop_
_atom_site_label
_atom_site_fract_x
_atom_site_fract_y
_atom_site_fract_z
_atom_site_occupancy
Hg1 0.500 0.000 0.000 1
Os1 0.747 0.493 0.717 1
Os2 0.253 0.507 0.283 1
Sb1 0.000 0.000 0.500 1

In states/eV/atom, the Fermi-level density of states values for the records above are, in order, 0.0000; 0.5087.
In g cm⁻³, the mass density values for the records above are, in order, 3.418; 16.853.
In Å³/f.u., the volume values for the records above are, in order, 95.15; 69.25.